12
Lattice="2.740 1.582 8.967 -2.740 1.582 8.967 0.000 -3.164 8.967" Properties=species:S:1:pos:R:3 comment="LiTm3Al8, relaxed, DFT PBE" formation_enthalpy_0k_mev_per_atom=-384 total_energy_ev_per_atom=-4.157 pbc="T T T"
Li 0.000 0.000 0.000
Tm 0.000 0.000 3.304
Tm 0.000 0.000 13.455
Tm 0.000 0.000 16.878
Al 0.000 -1.577 6.177
Al -1.366 0.788 6.177
Al -1.366 -0.789 10.668
Al 0.000 0.000 8.427
Al 1.366 0.788 6.177
Al 1.366 -0.789 10.668
Al 0.000 1.577 10.668
Al 0.000 0.000 21.865

***

4
Lattice="0.000 3.668 3.668 3.668 0.000 3.668 3.668 3.668 0.000" Properties=species:S:1:pos:R:3 comment="PmNdHgIr, relaxed, DFT PBE" formation_enthalpy_0k_mev_per_atom=-508 de_polymorph_mev_per_atom=0 total_energy_ev_per_atom=-5.178 pbc="T T T"
Pm 0.000 0.000 0.000
Nd 3.668 3.668 3.668
Hg 1.834 1.834 1.834
Ir 5.502 5.502 5.502

***

4
Lattice="2.860 -1.640 0.000 2.860 1.640 0.000 -1.890 0.000 7.699" Properties=species:S:1:pos:R:3 comment="Zn2IrBr, relaxed, DFT PBE" de_polymorph_mev_per_atom=183 total_energy_ev_per_atom=-3.168 e_form_raw_kj_per_mol_fu=40 pbc="T T T"
Zn 0.958 0.000 1.748
Zn 2.872 0.000 5.950
Ir 2.860 0.000 0.000
Br -0.945 0.000 3.849

***

5
Lattice="5.192 0.000 0.000 0.000 5.192 0.000 0.000 0.000 5.192" Properties=species:S:1:pos:R:3 comment="VTe4, relaxed, DFT PBE" total_energy_ev_per_atom=-4.113 e_form_raw_kj_per_mol_fu=108 pbc="T T T"
V 0.000 0.000 0.000
Te 0.000 0.000 2.596
Te 0.000 2.596 0.000
Te 2.596 0.000 0.000
Te 2.596 2.596 2.596

***

20
Lattice="5.444 0.000 0.000 0.000 7.375 0.000 -1.053 0.000 5.416" Properties=species:S:1:pos:R:3 comment="Mg2CuSbO6, relaxed, DFT PBE" total_energy_ev_per_atom=-5.735 e_form_raw_kj_per_mol_fu=-1562 pbc="T T T"
Mg 0.107 1.844 0.441
Mg 1.866 5.531 2.561
Mg 2.525 1.844 2.855
Mg 4.285 5.531 4.975
Cu -0.526 0.000 2.708
Cu -0.526 3.688 2.708
Sb 2.722 0.000 0.000
Sb 2.722 3.688 0.000
O -0.092 5.531 3.136
O -0.081 0.385 4.479
O -0.081 3.302 4.479
O 1.690 0.530 1.572
O 1.690 3.157 1.572
O 1.956 5.531 0.487
O 2.436 1.844 4.928
O 2.701 4.218 3.844
O 2.701 6.845 3.844
O 4.472 4.073 0.937
O 4.472 6.990 0.937
O 4.483 1.844 2.280

***

5
Lattice="5.489 0.000 0.000 0.000 5.489 0.000 0.000 0.000 5.753" Properties=species:S:1:pos:R:3 comment="CsLa2CdRu, relaxed, DFT PBE" formation_enthalpy_0k_mev_per_atom=-10 total_energy_ev_per_atom=-4.189 pbc="T T T"
Cs 0.000 0.000 0.000
La 0.000 2.745 2.876
La 2.745 0.000 2.876
Cd 2.745 2.745 0.000
Ru 2.745 2.745 2.876

***

5
Lattice="4.987 0.000 0.000 0.000 4.987 0.000 0.000 0.000 3.782" Properties=species:S:1:pos:R:3 comment="Ca2CuAuN, relaxed, DFT PBE" de_polymorph_mev_per_atom=0 total_energy_ev_per_atom=-4.542 e_form_raw_kj_per_mol_fu=-290 pbc="T T T"
Ca 0.000 2.493 0.000
Ca 2.493 0.000 0.000
Cu 0.000 0.000 1.891
Au 2.493 2.493 1.891
N 0.000 0.000 0.000

***

18
Lattice="1.487 -6.721 0.000 1.487 6.721 0.000 0.000 0.000 14.484" Properties=species:S:1:pos:R:3 comment="NpAs3Ru5, relaxed, DFT PBE" formation_enthalpy_0k_mev_per_atom=-67 total_energy_ev_per_atom=-8.208 pbc="T T T"
Np 1.487 4.680 10.863
Np 1.487 -4.680 3.621
As 1.487 4.835 3.621
As 1.487 1.794 0.847
As 1.487 1.794 6.395
As 1.487 -1.794 8.089
As 1.487 -1.794 13.637
As 1.487 -4.835 10.863
Ru 0.000 0.000 0.000
Ru 0.000 0.000 7.242
Ru 1.487 4.153 1.110
Ru 1.487 4.153 6.132
Ru 1.487 0.354 9.494
Ru 1.487 0.354 12.231
Ru 1.487 -0.354 2.253
Ru 1.487 -0.354 4.989
Ru 1.487 -4.153 8.352
Ru 1.487 -4.153 13.374

***

One value per record, in order, for D(E_F): 6.47, 2.59, 2.80, 6.01, 3.67, 3.89, 2.46, 23.40 states/eV per cell.